(1)
DFT (PBE-GGA) results for LiCe5Ir4 after structural relaxation.

Cell lengths 7.1487, 7.1487, 7.0437 Å; angles 98.82, 98.82, 40.80 degrees
Fractional positions:
Li  0.0000  0.0000  0.0000
Ce  0.0000  0.0000  0.5000
Ce  0.2995  0.2995  0.4205
Ce  0.3541  0.3541  0.9595
Ce  0.6459  0.6459  0.0405
Ce  0.7005  0.7005  0.5795
Ir  0.1632  0.1632  0.7808
Ir  0.4886  0.4886  0.7099
Ir  0.5114  0.5114  0.2901
Ir  0.8368  0.8368  0.2192

## Properties
For the formation energy, the calculation gives -0.5441 eV per atom. Its total moment is 2.2 μB/f.u.


(2)
DFT (PBE-GGA) results for SrTiSb2 after structural relaxation.

Cell lengths 5.3026, 5.3026, 5.3026 Å; angles 60.00, 60.00, 60.00 degrees
Fractional positions:
Sr  0.0000  0.0000  0.0000
Ti  0.5000  0.5000  0.5000
Sb  0.2500  0.2500  0.2500
Sb  0.7500  0.7500  0.7500

## Properties
As for the total energy: -0.174 Ha/atom. Its total moment is 1.6 μB/f.u.